1.
The following is a meta-GGA SCAN calculation of Mg3Zn2 at its PBEsol-relaxed geometry, from Alexandria.

Results
E_form ... -0.04 eV/atom
Total energy ... -337.0 eV per cell
Offset from the most stable computed form ... 6.3 kJ per mole of atoms
Size of the total moment ... 0.00 μB per formula unit

a = 10.0449 Å, b = 14.0011 Å, c = 5.3337 Å
α = 90.00°, β = 90.00°, γ = 90.00°
Closest atoms and distances in Å follow each position.
Space group Fdd2 (No. 43)
Asymmetric unit:
Mg (0.0000, 0.0000, 0.0000)  6 Zn 2.80-3.06, 4 Mg 3.06-3.08
Mg (0.0484, 0.3968, 0.0021)  5 Zn 2.82-3.07, 5 Mg 2.91-3.08
Zn (0.0258, 0.2966, 0.5387)  8 Mg 2.80-3.07, 2 Zn 3.01

=====

2.
The following is a meta-GGA SCAN calculation of Mg3Zn at its PBEsol-relaxed geometry, from Alexandria.

Results
E_form ... -0.02 eV/atom
Total energy ... -114.1 eV per cell
Size of the total moment ... 0.00 μB per formula unit

a = 6.1652 Å, b = 10.5452 Å, c = 4.8814 Å
α = 90.00°, β = 90.00°, γ = 90.00°
Closest atoms and distances in Å follow each position.
Space group Cmcm (No. 63)
Asymmetric unit:
Mg (0.0000, 0.0866, 0.2500)  10 Mg 3.01-3.07, 2 Zn 3.08
Mg (0.2415, 0.3416, 0.2500)  4 Zn 2.95-3.11, 8 Mg 2.98-3.19
Zn (0.0000, 0.4116, 0.7500)  10 Mg 2.95-3.11, 2 Zn 3.07

=====

3.
The following is a meta-GGA SCAN calculation of MgZn5 at its PBEsol-relaxed geometry, from Alexandria.

Results
E_form ... -0.01 eV/atom
Total energy ... -145.2 eV per cell
Size of the total moment ... 0.00 μB per formula unit

a = 4.4503 Å, b = 2.8195 Å, c = 14.3991 Å
α = 90.00°, β = 90.00°, γ = 90.00°
Closest atoms and distances in Å follow each position.
Space group Amm2 (No. 38)
Asymmetric unit:
Mg (0.0000, 0.0000, 0.0000)  10 Zn 2.77-2.85, 2 Mg 2.82
Zn (0.0000, 0.0000, 0.3281)  10 Zn 2.69-2.82, 2 Mg 2.85
Zn (0.0000, 0.0000, 0.6693)  10 Zn 2.69-2.82, 2 Mg 2.82
Zn (0.5000, 0.0000, 0.2219)  12 Zn 2.70-2.82
Zn (0.5000, 0.0000, 0.5611)  8 Zn 2.71-2.90, 4 Mg 2.78
Zn (0.5000, 0.0000, 0.8854)  10 Zn 2.74-2.90, 2 Mg 2.77